Here is a relaxed PrN2Cl4 crystal from Alexandria via LeMat-Bulk. Energies are from PBE-GGA.

Summary:
Energy relative to the elements, uncorrected: 0.346 eV per atom
Symmetry: R-3m, No. 166
Mass density: 2.51 g cm⁻³
Crystal system: trigonal
E_tot: -3.77 eV/atom

abc: 4.895 4.895 10.313
angles: 76.27 76.27 60.00
Each line ends with the local moment (μB).
Atoms (fractional coordinates):
Cl (0.310, 0.310, 0.069)  0.03
Cl (0.905, 0.905, 0.286)  -0.10
Cl (0.690, 0.690, 0.931)  0.03
Cl (0.095, 0.095, 0.714)  -0.10
N (0.216, 0.216, 0.351)  1.75
N (0.784, 0.784, 0.649)  1.75
Pr (0.000, 0.000, 0.000)  0.02

---

Here is a relaxed Pr2NCl crystal from Alexandria via LeMat-Bulk. Energies are from PBE-GGA.

Summary:
Energy relative to the elements, uncorrected: -1.503 eV per atom
Symmetry: R3m, No. 160
Mass density: 6.40 g cm⁻³
Crystal system: trigonal
E_tot: -6.44 eV/atom

abc: 3.717 3.717 7.500
angles: 75.65 75.65 60.00
Atoms (fractional coordinates):
Pr (0.270, 0.270, 0.190)
Pr (0.062, 0.062, 0.813)
N (0.668, 0.668, 0.995)
Cl (0.499, 0.499, 0.502)

---

Here is a relaxed Pr12N3Cl5 crystal from Alexandria via LeMat-Bulk. Energies are from PBE-GGA.

Summary:
Energy relative to the elements, uncorrected: -0.468 eV per atom
Symmetry: Ia-3d, No. 230
Mass density: 5.61 g cm⁻³
Crystal system: cubic
E_tot: -5.05 eV/atom

abc: 14.323 14.323 14.323
angles: 109.47 109.47 109.47
Atoms (fractional coordinates):
Pr (0.125, 0.171, 0.245)
Pr (0.046, 0.875, 0.120)
Pr (0.245, 0.671, 0.125)
Pr (0.875, 0.829, 0.755)
Pr (0.454, 0.074, 0.329)
Pr (0.755, 0.329, 0.875)
Pr (0.625, 0.745, 0.671)
Pr (0.171, 0.046, 0.926)
Pr (0.926, 0.380, 0.255)
Pr (0.620, 0.546, 0.875)
Pr (0.875, 0.046, 0.620)
Pr (0.120, 0.745, 0.574)
Pr (0.625, 0.880, 0.454)
Pr (0.546, 0.926, 0.671)
Pr (0.755, 0.426, 0.380)
Pr (0.329, 0.755, 0.375)
Pr (0.255, 0.375, 0.829)
Pr (0.671, 0.426, 0.546)
Pr (0.574, 0.245, 0.120)
Pr (0.829, 0.954, 0.074)
Pr (0.329, 0.574, 0.454)
Pr (0.926, 0.546, 0.171)
Pr (0.380, 0.926, 0.755)
Pr (0.074, 0.454, 0.829)
Pr (0.880, 0.625, 0.954)
Pr (0.954, 0.125, 0.880)
Pr (0.745, 0.120, 0.074)
Pr (0.380, 0.454, 0.125)
Pr (0.745, 0.625, 0.171)
Pr (0.046, 0.171, 0.426)
Pr (0.829, 0.875, 0.255)
Pr (0.454, 0.380, 0.625)
Pr (0.120, 0.375, 0.046)
Pr (0.426, 0.671, 0.046)
Pr (0.671, 0.245, 0.625)
Pr (0.880, 0.255, 0.426)
Pr (0.171, 0.125, 0.745)
Pr (0.074, 0.620, 0.745)
Pr (0.375, 0.255, 0.329)
Pr (0.245, 0.574, 0.620)
Pr (0.426, 0.755, 0.880)
Pr (0.546, 0.620, 0.375)
Pr (0.620, 0.074, 0.245)
Pr (0.574, 0.329, 0.954)
Pr (0.125, 0.954, 0.380)
Pr (0.255, 0.880, 0.926)
Pr (0.954, 0.829, 0.574)
Pr (0.375, 0.120, 0.546)
Cl (0.500, 0.500, 0.000)
Cl (0.000, 0.000, 0.000)
Cl (0.125, 0.750, 0.375)
Cl (0.625, 0.875, 0.250)
Cl (0.000, 0.500, 0.000)
Cl (0.750, 0.125, 0.875)
Cl (0.375, 0.125, 0.750)
Cl (0.250, 0.875, 0.125)
Cl (0.375, 0.250, 0.125)
Cl (0.500, 0.000, 0.000)
Cl (0.875, 0.625, 0.750)
Cl (0.125, 0.375, 0.250)
Cl (0.875, 0.250, 0.625)
Cl (0.500, 0.000, 0.500)
Cl (0.750, 0.625, 0.375)
Cl (0.000, 0.000, 0.500)
Cl (0.625, 0.750, 0.875)
Cl (0.500, 0.500, 0.500)
Cl (0.000, 0.500, 0.500)
Cl (0.250, 0.375, 0.625)
N (0.375, 0.625, 0.250)
N (0.750, 0.375, 0.125)
N (0.625, 0.250, 0.375)
N (0.250, 0.125, 0.375)
N (0.875, 0.750, 0.125)
N (0.125, 0.875, 0.750)
N (0.625, 0.375, 0.750)
N (0.750, 0.875, 0.625)
N (0.125, 0.250, 0.875)
N (0.875, 0.125, 0.250)
N (0.375, 0.750, 0.625)
N (0.250, 0.625, 0.875)

---

Here is a relaxed Pr3N2Cl2 crystal from Alexandria via LeMat-Bulk. Energies are from PBE-GGA.

Summary:
Energy relative to the elements, uncorrected: -1.638 eV per atom
Symmetry: P-1, No. 2
Mass density: 5.29 g cm⁻³
Crystal system: triclinic
E_tot: -6.59 eV/atom

abc: 3.633 6.470 7.377
angles: 99.97 89.99 106.22
Atoms (fractional coordinates):
N (0.637, 0.273, 0.936)
N (0.363, 0.727, 0.064)
Cl (0.875, 0.752, 0.623)
Cl (0.125, 0.248, 0.377)
Pr (0.000, 0.000, 0.000)
Pr (0.774, 0.549, 0.208)
Pr (0.226, 0.451, 0.792)

---

Here is a relaxed PrN2Cl2 crystal from Alexandria via LeMat-Bulk. Energies are from PBE-GGA.

Summary:
Energy relative to the elements, uncorrected: -1.165 eV per atom
Symmetry: P-1, No. 2
Mass density: 3.20 g cm⁻³
Crystal system: triclinic
E_tot: -6.19 eV/atom

abc: 8.556 5.532 9.739
angles: 102.31 33.91 104.85
Each line ends with the local moment (μB).
Atoms (fractional coordinates):
N (0.880, 0.869, 0.925)  0.24
N (0.120, 0.131, 0.075)  0.24
N (0.777, 0.686, 0.034)  0.18
N (0.223, 0.314, 0.966)  0.18
Pr (0.249, 0.641, 0.518)  0.20
Pr (0.751, 0.359, 0.482)  0.20
Cl (0.816, 0.268, 0.701)  0.01
Cl (0.552, 0.795, 0.566)  0.00
Cl (0.448, 0.205, 0.434)  0.00
Cl (0.184, 0.732, 0.299)  0.01

---

Here is a relaxed Pr4NCl5 crystal from Alexandria via LeMat-Bulk. Energies are from PBE-GGA.

Summary:
Energy relative to the elements, uncorrected: -1.872 eV per atom
Symmetry: C2/m, No. 12
Mass density: 4.71 g cm⁻³
Crystal system: monoclinic
E_tot: -5.54 eV/atom

abc: 3.842 8.105 9.047
angles: 104.34 102.26 90.00
Atoms (fractional coordinates):
Pr (0.998, 0.211, 0.996)
Pr (0.355, 0.915, 0.710)
Pr (0.645, 0.085, 0.290)
Pr (0.002, 0.789, 0.004)
Cl (0.500, 0.500, 0.000)
Cl (0.172, 0.837, 0.343)
Cl (0.837, 0.649, 0.673)
Cl (0.828, 0.163, 0.657)
Cl (0.163, 0.351, 0.327)
N (0.500, 0.000, 0.000)

---

Here is a relaxed Pr4N2Cl3 crystal from Alexandria via LeMat-Bulk. Energies are from PBE-GGA.

Summary:
Energy relative to the elements, uncorrected: -1.575 eV per atom
Symmetry: C2/m, No. 12
Mass density: 5.45 g cm⁻³
Relative energy among the computed polymorphs: 0 meV/atom
Crystal system: monoclinic
E_tot: -6.16 eV/atom

abc: 3.548 7.456 8.454
angles: 101.23 90.00 103.77
Atoms (fractional coordinates):
Pr (0.906, 0.813, 0.290)
Pr (0.094, 0.187, 0.710)
Pr (0.680, 0.359, 0.106)
Pr (0.320, 0.641, 0.894)
N (0.299, 0.598, 0.189)
N (0.701, 0.402, 0.811)
Cl (0.588, 0.176, 0.402)
Cl (0.412, 0.824, 0.598)
Cl (0.000, 0.000, 0.000)

---

Here is a relaxed PrN2Cl3 crystal from Alexandria via LeMat-Bulk. Energies are from PBE-GGA.

Summary:
Energy relative to the elements, uncorrected: 0.243 eV per atom
Symmetry: P2_1/m, No. 11
Mass density: 2.13 g cm⁻³
Crystal system: monoclinic
E_tot: -4.25 eV/atom

abc: 5.552 8.445 9.560
angles: 90.01 73.20 90.00
Each line ends with the local moment (μB).
Atoms (fractional coordinates):
N (0.313, 0.250, 0.372)  1.94
N (0.687, 0.750, 0.628)  1.94
N (0.684, 0.250, 0.628)  1.94
N (0.316, 0.750, 0.372)  1.94
Cl (0.499, 0.750, 0.000)  0.01
Cl (0.099, 0.000, 0.802)  0.01
Cl (0.501, 0.250, 0.000)  0.01
Cl (0.901, 0.500, 0.198)  0.01
Cl (0.901, 0.000, 0.198)  0.01
Cl (0.099, 0.500, 0.802)  0.01
Pr (0.001, 0.250, 0.000)  0.00
Pr (0.999, 0.750, 0.000)  0.00

---

Here is a relaxed Pr2NCl2 crystal from Alexandria via LeMat-Bulk. Energies are from PBE-GGA.

Summary:
Energy relative to the elements, uncorrected: -1.832 eV per atom
Symmetry: C2/m, No. 12
Mass density: 4.60 g cm⁻³
Crystal system: monoclinic
E_tot: -6.15 eV/atom

abc: 3.813 3.814 10.722
angles: 80.86 79.76 60.01
Atoms (fractional coordinates):
Pr (0.284, 0.798, 0.633)
Pr (0.716, 0.202, 0.367)
N (0.000, 0.500, 0.500)
Cl (0.447, 0.914, 0.192)
Cl (0.553, 0.086, 0.808)

---

Here is a relaxed Pr4N2Cl3 crystal from Alexandria via LeMat-Bulk. Energies are from PBE-GGA.

Summary:
Energy relative to the elements, uncorrected: -1.552 eV per atom
Symmetry: C2/m, No. 12
Mass density: 5.36 g cm⁻³
Relative energy among the computed polymorphs: 23 meV/atom
Crystal system: monoclinic
E_tot: -6.14 eV/atom

abc: 3.600 7.076 8.944
angles: 100.94 90.00 104.74
Atoms (fractional coordinates):
Cl (0.637, 0.274, 0.535)
Cl (0.363, 0.726, 0.465)
Cl (0.000, 0.000, 0.000)
Pr (0.351, 0.702, 0.108)
Pr (0.649, 0.298, 0.892)
Pr (0.155, 0.310, 0.281)
Pr (0.845, 0.690, 0.719)
N (0.267, 0.534, 0.841)
N (0.733, 0.466, 0.159)

---

Here is a relaxed PrNCl crystal from Alexandria via LeMat-Bulk. Energies are from PBE-GGA.

Summary:
Energy relative to the elements, uncorrected: -0.948 eV per atom
Symmetry: P-62m, No. 189
Mass density: 5.66 g cm⁻³
Crystal system: hexagonal
E_tot: -5.93 eV/atom

abc: 6.538 6.538 9.057
angles: 90.00 90.00 120.00
Each line ends with the local moment (μB).
Atoms (fractional coordinates):
Cl (0.571, 0.000, 0.750)  0.02
Cl (0.000, 0.571, 0.250)  0.02
Cl (0.429, 0.429, 0.750)  0.02
Cl (0.000, 0.571, 0.750)  0.02
Cl (0.571, 0.000, 0.250)  0.02
Cl (0.429, 0.429, 0.250)  0.02
Pr (0.667, 0.333, 0.000)  0.07
Pr (0.333, 0.667, 0.500)  0.07
Pr (0.333, 0.667, 0.000)  0.07
Pr (0.667, 0.333, 0.500)  0.07
Pr (0.000, 0.000, 0.250)  -0.02
Pr (0.000, 0.000, 0.750)  -0.02
N (0.000, 0.255, 0.500)  0.66
N (0.255, 0.000, 0.500)  0.66
N (0.000, 0.255, 0.000)  0.66
N (0.255, 0.000, 0.000)  0.66
N (0.745, 0.745, 0.000)  0.66
N (0.745, 0.745, 0.500)  0.66

---

Here is a relaxed PrPuNCl crystal from Alexandria via LeMat-Bulk. Energies are from PBE-GGA.

Summary:
Energy relative to the elements, uncorrected: -1.378 eV per atom
Symmetry: R3m, No. 160
Mass density: 8.89 g cm⁻³
Crystal system: trigonal
E_tot: -8.70 eV/atom

abc: 3.584 3.582 7.585
angles: 90.03 103.65 119.96
Each line ends with the local moment (μB).
Atoms (fractional coordinates):
N (0.317, 0.556, 0.888)  -0.12
Pu (0.093, 0.944, 0.052)  5.22
Cl (0.965, 0.380, 0.360)  -0.01
Pr (0.504, 0.150, 0.670)  -0.07

---

Here is a relaxed Pr8Rh3NCl3 crystal from Alexandria via LeMat-Bulk. Energies are from PBE-GGA.

Summary:
Energy relative to the elements, uncorrected: -1.001 eV per atom
Symmetry: P-1, No. 2
Mass density: 6.07 g cm⁻³
Crystal system: triclinic
E_tot: -5.95 eV/atom

abc: 8.127 8.146 8.781
angles: 117.61 89.93 119.99
Atoms (fractional coordinates):
Pr (0.736, 0.473, 0.711)
Pr (0.757, 0.977, 0.697)
Pr (0.264, 0.527, 0.289)
Pr (0.221, 0.977, 0.697)
Pr (0.221, 0.442, 0.698)
Pr (0.243, 0.023, 0.303)
Pr (0.779, 0.558, 0.302)
Pr (0.779, 0.023, 0.303)
Cl (0.500, 0.500, 0.000)
Cl (0.000, 0.500, 0.000)
Cl (0.000, 0.000, 0.000)
Rh (0.500, 0.000, 0.500)
Rh (0.000, 0.500, 0.500)
Rh (0.500, 0.500, 0.500)
N (0.000, 0.000, 0.500)

---

Here is a relaxed Pr4RuNCl2 crystal from Alexandria via LeMat-Bulk. Energies are from PBE-GGA.

Summary:
Energy relative to the elements, uncorrected: -1.120 eV per atom
Symmetry: P2/m, No. 10
Mass density: 6.26 g cm⁻³
Crystal system: monoclinic
E_tot: -6.17 eV/atom

abc: 3.895 6.893 7.698
angles: 105.96 90.00 90.00
Atoms (fractional coordinates):
Pr (0.500, 0.221, 0.190)
Pr (0.500, 0.779, 0.810)
Pr (0.000, 0.230, 0.801)
Pr (0.000, 0.770, 0.199)
Ru (0.500, 0.500, 0.000)
Cl (0.500, 0.000, 0.500)
Cl (0.000, 0.500, 0.500)
N (0.000, 0.000, 0.000)

---

Here is a relaxed Pr8Ru3NCl3 crystal from Alexandria via LeMat-Bulk. Energies are from PBE-GGA.

Summary:
Energy relative to the elements, uncorrected: -0.802 eV per atom
Symmetry: C2/m, No. 12
Mass density: 6.02 g cm⁻³
Crystal system: monoclinic
E_tot: -6.13 eV/atom

abc: 8.084 8.083 8.885
angles: 117.11 90.00 120.00
Atoms (fractional coordinates):
Pr (0.739, 0.478, 0.716)
Pr (0.261, 0.522, 0.284)
Pr (0.250, 0.029, 0.309)
Pr (0.779, 0.029, 0.309)
Pr (0.780, 0.559, 0.309)
Pr (0.750, 0.971, 0.691)
Pr (0.220, 0.441, 0.691)
Pr (0.221, 0.971, 0.691)
Ru (0.500, 0.500, 0.500)
Ru (0.000, 0.500, 0.500)
Ru (0.500, 0.000, 0.500)
Cl (0.000, 0.500, 0.000)
Cl (0.000, 0.000, 0.000)
Cl (0.500, 0.500, 0.000)
N (0.000, 0.000, 0.500)

---

Here is a relaxed Pr4SNCl2 crystal from Alexandria via LeMat-Bulk. Energies are from PBE-GGA.

Summary:
Energy relative to the elements, uncorrected: -1.586 eV per atom
Symmetry: P2/m, No. 10
Mass density: 5.98 g cm⁻³
Crystal system: monoclinic
E_tot: -5.99 eV/atom

abc: 3.903 6.940 7.325
angles: 107.62 90.00 90.00
Atoms (fractional coordinates):
Cl (0.000, 0.500, 0.500)
Cl (0.500, 0.000, 0.500)
Pr (0.500, 0.268, 0.203)
Pr (0.000, 0.708, 0.195)
Pr (0.000, 0.292, 0.805)
Pr (0.500, 0.732, 0.797)
N (0.500, 0.500, 0.000)
S (0.000, 0.000, 0.000)

---

Here is a relaxed Pr5S2N3Cl2 crystal from Alexandria via LeMat-Bulk. Energies are from PBE-GGA.

Summary:
Energy relative to the elements, uncorrected: -1.735 eV per atom
Symmetry: C2/m, No. 12
Mass density: 5.36 g cm⁻³
Crystal system: monoclinic
E_tot: -6.80 eV/atom

abc: 8.257 8.257 17.113
angles: 78.27 78.27 28.59
Atoms (fractional coordinates):
Pr (0.514, 0.514, 0.836)
Pr (0.426, 0.426, 0.595)
Pr (0.887, 0.887, 0.033)
Pr (0.486, 0.486, 0.164)
Pr (0.574, 0.574, 0.405)
Pr (0.239, 0.239, 0.208)
Pr (0.113, 0.113, 0.967)
Pr (0.761, 0.761, 0.792)
Pr (0.859, 0.859, 0.426)
Pr (0.141, 0.141, 0.574)
S (0.955, 0.955, 0.709)
S (0.213, 0.213, 0.404)
S (0.045, 0.045, 0.291)
S (0.787, 0.787, 0.596)
Cl (0.684, 0.684, 0.109)
Cl (0.316, 0.316, 0.891)
Cl (0.840, 0.840, 0.260)
Cl (0.160, 0.160, 0.740)
N (0.355, 0.355, 0.112)
N (0.425, 0.425, 0.455)
N (0.645, 0.645, 0.888)
N (0.991, 0.991, 0.911)
N (0.575, 0.575, 0.545)
N (0.009, 0.009, 0.089)

---

Here is a relaxed Pr6S3N2Cl crystal from Alexandria via LeMat-Bulk. Energies are from PBE-GGA.

Summary:
Energy relative to the elements, uncorrected: -1.678 eV per atom
Symmetry: C2/m, No. 12
Mass density: 6.26 g cm⁻³
Crystal system: monoclinic
E_tot: -6.64 eV/atom

abc: 3.906 8.103 8.863
angles: 102.66 102.73 90.00
Atoms (fractional coordinates):
Cl (0.500, 0.000, 0.000)
Pr (0.675, 0.126, 0.350)
Pr (0.020, 0.270, 0.040)
Pr (0.325, 0.874, 0.650)
Pr (0.323, 0.435, 0.647)
Pr (0.677, 0.565, 0.353)
Pr (0.980, 0.730, 0.960)
S (0.500, 0.500, 0.000)
S (0.160, 0.835, 0.319)
S (0.840, 0.165, 0.681)
N (0.829, 0.663, 0.658)
N (0.171, 0.337, 0.342)